No. 1
BIr: relaxed, PBE.

a b c (Å): 6.3717 10.0223 8.7690
angles (deg): 90.00 90.00 90.00
Element x y z (fractional)
1 B 0.0000 0.0000 0.8152
2 B 0.0000 0.0000 0.1848
3 B 0.2500 0.7500 0.4348
4 B 0.2500 0.7500 0.0652
5 B 0.0000 0.5000 0.3152
6 B 0.0000 0.5000 0.6848
7 B 0.2500 0.2500 0.9348
8 B 0.2500 0.2500 0.5652
9 B 0.5000 0.0000 0.3152
10 B 0.5000 0.0000 0.6848
11 B 0.7500 0.7500 0.9348
12 B 0.7500 0.7500 0.5652
13 B 0.5000 0.5000 0.8152
14 B 0.5000 0.5000 0.1848
15 B 0.7500 0.2500 0.4348
16 B 0.7500 0.2500 0.0652
17 Ir 0.0000 0.1370 0.0000
18 Ir 0.0000 0.8630 0.0000
19 Ir 0.2500 0.6130 0.2500
20 Ir 0.2500 0.8870 0.2500
21 Ir 0.0000 0.6370 0.5000
22 Ir 0.0000 0.3630 0.5000
23 Ir 0.2500 0.1130 0.7500
24 Ir 0.2500 0.3870 0.7500
25 Ir 0.5000 0.1370 0.5000
26 Ir 0.5000 0.8630 0.5000
27 Ir 0.7500 0.6130 0.7500
28 Ir 0.7500 0.8870 0.7500
29 Ir 0.5000 0.6370 0.0000
30 Ir 0.5000 0.3630 0.0000
31 Ir 0.7500 0.1130 0.2500
32 Ir 0.7500 0.3870 0.2500

Properties
Formation energy in eV/f.u.: 0.4
SG: Fddd

No. 2
SmGdFeRu: relaxed, PBE.

a b c (Å): 4.9016 4.9016 4.9016
angles (deg): 60.00 60.00 60.00
Last column: magnetic moment on the atom in μB.
Element x y z (fractional)
1 Ru 0.0000 0.0000 0.0000  0.17
2 Gd 0.2500 0.2500 0.2500  6.88
3 Fe 0.5000 0.5000 0.5000  2.39
4 Sm 0.7500 0.7500 0.7500  -0.13

Properties
Formation energy in eV/f.u.: 0.2
SG: F-43m

No. 3
DyTmSn4Ru2: relaxed, PBE.

a b c (Å): 4.4304 4.4304 10.0604
angles (deg): 90.00 90.00 90.00
Element x y z (fractional)
1 Dy 0.0000 0.0000 0.5000
2 Tm 0.0000 0.0000 0.0000
3 Sn 0.0000 0.5000 0.2277
4 Sn 0.5000 0.0000 0.7723
5 Sn 0.5000 0.0000 0.2277
6 Sn 0.0000 0.5000 0.7723
7 Ru 0.5000 0.5000 0.3849
8 Ru 0.5000 0.5000 0.6151

Properties
Formation energy in eV/f.u.: -1.9
SG: P4/mmm

No. 4
Tb4Nd2Mg: relaxed, PBE.

a b c (Å): 12.5918 6.5079 6.2961
angles (deg): 117.16 90.00 90.00
Element x y z (fractional)
1 Tb 0.7275 0.8220 0.0833
2 Tb 0.8316 0.8513 0.5732
3 Tb 0.6684 0.3513 0.5732
4 Tb 0.7725 0.3220 0.0833
5 Tb 0.2275 0.6780 0.9167
6 Tb 0.3316 0.6487 0.4268
7 Tb 0.1684 0.1487 0.4268
8 Tb 0.2725 0.1780 0.9167
9 Nd 0.0645 0.5937 0.3112
10 Nd 0.9355 0.4063 0.6888
11 Nd 0.5645 0.9063 0.6888
12 Nd 0.4355 0.0937 0.3112
13 Mg 0.0000 0.0000 0.0000
14 Mg 0.5000 0.5000 0.0000

Properties
Formation energy in eV/f.u.: 1.1
Distance to the lowest polymorph of the same formula in meV per atom: 59.4
SG: P2_1/c

No. 5
Cu3NCl: relaxed, PBE.

a b c (Å): 4.0050 4.0050 4.0050
angles (deg): 90.00 90.00 90.00
Element x y z (fractional)
1 N 0.0000 0.0000 0.0000
2 Cu 0.0000 0.5000 0.0000
3 Cu 0.0000 0.0000 0.5000
4 Cu 0.5000 0.0000 0.0000
5 Cl 0.5000 0.5000 0.5000

Properties
E_form (uncorrected) in eV/atom: 0.277
Distance to the lowest polymorph of the same formula in meV per atom: 0.0
SG: Pm-3m

No. 6
La2TbPm6Tm: relaxed, PBE.

a b c (Å): 10.0394 8.8916 8.8916
angles (deg): 117.98 95.14 95.14
Element x y z (fractional)
1 La 0.4589 0.8057 0.7073
2 La 0.0411 0.2927 0.1943
3 La 0.5411 0.1943 0.2927
4 La 0.9589 0.7073 0.8057
5 Tb 0.2500 0.9870 0.0130
6 Tb 0.7500 0.0130 0.9870
7 Pm 0.0563 0.1233 0.7420
8 Pm 0.4437 0.2580 0.8767
9 Pm 0.9437 0.8767 0.2580
10 Pm 0.5563 0.7420 0.1233
11 Pm 0.3101 0.9817 0.4193
12 Pm 0.1899 0.5807 0.0183
13 Pm 0.6899 0.0183 0.5807
14 Pm 0.8101 0.4193 0.9817
15 Pm 0.1206 0.7047 0.4993
16 Pm 0.3794 0.5007 0.2953
17 Pm 0.8794 0.2953 0.5007
18 Pm 0.6206 0.4993 0.7047
19 Tm 0.2500 0.4053 0.5947
20 Tm 0.7500 0.5947 0.4053

Properties
Formation energy in eV/f.u.: 1.1
SG: C2/c

No. 7
BeHSeBr2: relaxed, PBE.

a b c (Å): 4.9819 4.9819 4.4712
angles (deg): 90.00 90.00 90.00
Last column: magnetic moment on the atom in μB.
Element x y z (fractional)
1 Be 0.0000 0.0000 0.0000  0.00
2 Se 0.0000 0.0000 0.5000  0.46
3 Br 0.0000 0.5000 0.0000  0.13
4 Br 0.5000 0.0000 0.0000  0.13
5 H 0.5000 0.5000 0.5000  0.37

Properties
Distance to the lowest polymorph of the same formula in meV per atom: 0.0
SG: P4/mmm

No. 8
LiCeTcN3: relaxed, PBE.

a b c (Å): 3.2805 5.7028 8.2842
angles (deg): 113.66 90.00 90.00
Element x y z (fractional)
1 Li 0.2500 0.6880 0.0808
2 Li 0.7500 0.3120 0.9192
3 Ce 0.7500 0.7100 0.7383
4 Ce 0.2500 0.2900 0.2617
5 Tc 0.2500 0.1411 0.6218
6 Tc 0.7500 0.8589 0.3782
7 N 0.2500 0.7360 0.4856
8 N 0.7500 0.9582 0.1736
9 N 0.7500 0.4992 0.1819
10 N 0.7500 0.2640 0.5144
11 N 0.2500 0.5008 0.8181
12 N 0.2500 0.0418 0.8264

Properties
E_form (uncorrected) in eV/atom: -0.696
SG: P2_1/m

No. 9
MnRe2Rh: relaxed, PBE.

a b c (Å): 3.7559 2.6989 6.0824
angles (deg): 63.79 90.00 90.00
Last column: magnetic moment on the atom in μB.
Element x y z (fractional)
1 Mn 0.5000 0.7500 0.7500  0.70
2 Re 0.0000 0.0192 0.9797  -0.10
3 Re 0.0000 0.4808 0.5203  -0.10
4 Rh 0.5000 0.2500 0.2500  -0.01

Properties
Formation energy in eV/f.u.: 0.0
Distance to the lowest polymorph of the same formula in meV per atom: 14.6
SG: P2/m

No. 10
HgH2Au2: relaxed, PBE.

a b c (Å): 7.2959 7.2959 3.4647
angles (deg): 90.00 90.00 90.00
Element x y z (fractional)
1 H 0.3611 0.8611 0.5000
2 H 0.8611 0.6389 0.5000
3 H 0.6389 0.1389 0.5000
4 H 0.1389 0.3611 0.5000
5 Au 0.3599 0.8599 0.0000
6 Au 0.8599 0.6401 0.0000
7 Au 0.6401 0.1401 0.0000
8 Au 0.1401 0.3599 0.0000
9 Hg 0.0000 0.0000 0.0000
10 Hg 0.5000 0.5000 0.0000

Properties
Distance to the lowest polymorph of the same formula in meV per atom: 109.3
SG: P4/mbm

No. 11
In2RuBr: relaxed, PBE.

a b c (Å): 8.7085 8.7085 8.7085
angles (deg): 23.06 23.06 23.06
Element x y z (fractional)
1 Ru 0.2500 0.2500 0.2500
2 Br 0.7500 0.7500 0.7500
3 In 0.9891 0.9891 0.9891
4 In 0.5109 0.5109 0.5109

Properties
E_form (uncorrected) in eV/atom: 0.032
Distance to the lowest polymorph of the same formula in meV per atom: 120.0
SG: R-3m

No. 12
PmPu3Ir3: relaxed, PBE.

a b c (Å): 6.8855 6.8855 7.0024
angles (deg): 89.15 89.15 99.78
Last column: magnetic moment on the atom in μB.
Element x y z (fractional)
1 Pm 0.7289 0.7289 0.8875  0.12
2 Pm 0.2711 0.2711 0.1125  0.12
3 Pu 0.6627 0.6627 0.4000  5.33
4 Pu 0.1870 0.8130 0.5000  4.97
5 Pu 0.8130 0.1870 0.5000  4.97
6 Pu 0.2326 0.7674 0.0000  4.90
7 Pu 0.7674 0.2326 0.0000  4.90
8 Pu 0.3373 0.3373 0.6000  5.33
9 Ir 0.9396 0.9396 0.2104  -0.33
10 Ir 0.0257 0.4900 0.7546  -0.36
11 Ir 0.4900 0.0257 0.7546  -0.36
12 Ir 0.9743 0.5100 0.2454  -0.36
13 Ir 0.5100 0.9743 0.2454  -0.36
14 Ir 0.0604 0.0604 0.7896  -0.33

Properties
Formation energy in eV/f.u.: -2.6
SG: C2/m